Entry 1:
Sr2TlRuO6: optimized geometry, GGA-PBE.

Cell: 5.7985 5.9552 8.2198 Å, 90.00 90.24 90.00°
Last column: magnetic moment on the atom in μB.
Atoms (fractional coordinates):
Ru: 0.0000 0.5000 0.0000  1.90
O: 0.7776 0.8126 0.5444  0.12
Sr: 0.4877 0.4497 0.2493  0.01
Sr: 0.0123 0.9497 0.2507  0.01
Tl: 0.5000 0.0000 0.0000  0.03
Sr: 0.9877 0.0503 0.7493  0.01
Sr: 0.5123 0.5503 0.7507  0.01
O: 0.2224 0.1874 0.4556  0.12
O: 0.1826 0.2261 0.0527  0.13
O: 0.2776 0.6874 0.0444  0.12
O: 0.9076 0.5322 0.2316  0.12
O: 0.5924 0.0322 0.2684  0.12
O: 0.6826 0.2739 0.5527  0.13
O: 0.8174 0.7739 0.9473  0.13
Tl: 0.0000 0.5000 0.5000  0.03
O: 0.0924 0.4678 0.7684  0.12
Ru: 0.5000 0.0000 0.5000  1.90
O: 0.3174 0.7261 0.4473  0.13
O: 0.4076 0.9678 0.7316  0.12
O: 0.7224 0.3126 0.9556  0.12

Density = 6.75 g/cm³
Symmetry = P2_1/c, No. 14
E_form (uncorrected) = -1.6833 eV per atom

=====

Entry 2:
SrTl2RuO8: optimized geometry, GGA-PBE.

Cell: 5.0574 4.9627 6.9966 Å, 83.47 89.61 92.85°
Last column: magnetic moment on the atom in μB.
Atoms (fractional coordinates):
O: 0.4497 0.2348 0.4907  0.30
O: 0.1558 0.8033 0.8294  -0.01
O: 0.6702 0.7653 0.9847  -0.02
Ru: 0.0000 0.0000 0.0000  0.31
Sr: 0.0000 0.0000 0.5000  0.00
O: 0.5503 0.7652 0.5093  0.30
Tl: 0.4973 0.4652 0.7576  0.00
O: 0.8442 0.1967 0.1706  -0.01
O: 0.8940 0.2436 0.7868  0.12
Tl: 0.5027 0.5348 0.2424  0.00
O: 0.1060 0.7564 0.2132  0.12
O: 0.3298 0.2347 0.0153  -0.02

Density = 6.91 g/cm³
Symmetry = P-1, No. 2
E_form (uncorrected) = -0.8677 eV per atom

=====

Entry 3:
Sr2Tl3RuO6: optimized geometry, GGA-PBE.

Cell: 6.1692 6.1692 6.5517 Å, 98.02 98.02 119.95°
Last column: magnetic moment on the atom in μB.
Atoms (fractional coordinates):
Tl: 0.5000 0.5000 0.5000  0.02
Ru: 0.0000 0.0000 0.0000  1.91
Sr: 0.6677 0.3323 0.0000  0.01
O: 0.7922 0.7922 0.2007  0.06
O: 0.9409 0.6726 0.8273  0.15
Tl: 0.1620 0.8380 0.5000  0.02
O: 0.6726 0.9409 0.8273  0.15
O: 0.0591 0.3274 0.1727  0.15
O: 0.3274 0.0591 0.1727  0.15
Tl: 0.8380 0.1620 0.5000  0.02
Sr: 0.3323 0.6677 0.0000  0.01
O: 0.2078 0.2078 0.7993  0.06

Density = 7.89 g/cm³
Symmetry = C2/m, No. 12
E_form (uncorrected) = -1.4170 eV per atom

=====

Entry 4:
SrTlRuO6: optimized geometry, GGA-PBE.

Cell: 5.6221 5.6221 5.1517 Å, 90.01 89.99 59.99°
Atoms (fractional coordinates):
O: 0.6048 0.0485 0.2868
Sr: 0.0000 0.0001 0.0000
Tl: 0.6667 0.6667 0.5002
Ru: 0.3334 0.3334 0.4999
O: 0.6050 0.3463 0.7129
O: 0.0484 0.3466 0.2871
O: 0.0486 0.6049 0.7131
O: 0.3465 0.6050 0.2871
O: 0.3464 0.0486 0.7129

Density = 5.76 g/cm³
Symmetry = P312, No. 149
E_form (uncorrected) = -1.1247 eV per atom

=====

Entry 5:
SrTlRu2O8: optimized geometry, GGA-PBE.

Cell: 6.0978 6.0978 7.9842 Å, 90.00 90.00 120.00°
Last column: magnetic moment on the atom in μB.
Atoms (fractional coordinates):
O: 0.1713 0.3435 0.7691  0.11
O: 0.8287 0.6565 0.2309  0.11
Tl: 0.0000 0.0000 0.5000  0.01
Ru: 0.3333 0.6667 0.8333  0.79
O: 0.6565 0.8277 0.7691  0.11
O: 0.3435 0.1723 0.2309  0.11
O: 0.3333 0.6667 0.0536  0.19
O: 0.8277 0.1713 0.2309  0.11
Ru: 0.6667 0.3333 0.1667  0.79
O: 0.6667 0.3333 0.9464  0.19
O: 0.1723 0.8287 0.7691  0.11
Sr: 0.0000 0.0000 0.0000  0.02

Density = 4.02 g/cm³
Symmetry = P-3m1, No. 164
E_form (uncorrected) = -1.1427 eV per atom

=====

Entry 6:
Sr2Tl2RuO6: optimized geometry, GGA-PBE.

Cell: 6.0920 6.0920 6.3306 Å, 96.62 96.62 119.56°
Last column: magnetic moment on the atom in μB.
Atoms (fractional coordinates):
O: 0.7929 0.7929 0.7033  0.03
Tl: 0.1575 0.8425 0.0000  -0.01
Sr: 0.3377 0.6623 0.5000  0.01
O: 0.3151 0.0431 0.6726  0.08
O: 0.6849 0.9569 0.3274  0.08
O: 0.9569 0.6849 0.3274  0.08
Tl: 0.8425 0.1575 0.0000  -0.01
Ru: 0.0000 0.0000 0.5000  1.40
O: 0.2071 0.2071 0.2967  0.03
O: 0.0431 0.3151 0.6726  0.08
Sr: 0.6623 0.3377 0.5000  0.01

Density = 6.52 g/cm³
Symmetry = C2/m, No. 12
E_form (uncorrected) = -1.5085 eV per atom

=====

Entry 7:
Sr2TmRuO6: optimized geometry, GGA-PBE.

Cell: 5.8264 5.7870 10.0094 Å, 54.98 90.00 90.00°
Last column: magnetic moment on the atom in μB.
Atoms (fractional coordinates):
O: 0.2718 0.1634 0.5378  0.11
Sr: 0.4672 0.2422 0.2507  0.01
O: 0.7964 0.2339 0.5364  0.12
O: 0.4836 0.3065 0.7636  0.12
Tm: 0.5000 0.5000 0.5000  0.02
Tm: 0.0000 0.5000 0.0000  0.02
O: 0.2282 0.1634 0.0378  0.11
O: 0.5164 0.6935 0.2364  0.12
O: 0.2964 0.7661 0.9636  0.12
O: 0.7036 0.2339 0.0364  0.12
O: 0.0164 0.3065 0.2636  0.12
O: 0.9836 0.6935 0.7364  0.12
Sr: 0.5328 0.7578 0.7493  0.01
Sr: 0.0328 0.2422 0.7507  0.01
O: 0.7718 0.8366 0.9622  0.11
O: 0.2036 0.7661 0.4636  0.12
Ru: 0.5000 0.0000 0.0000  1.97
O: 0.7282 0.8366 0.4622  0.11
Ru: 0.0000 0.0000 0.5000  1.97
Sr: 0.9672 0.7578 0.2493  0.01

Density = 6.50 g/cm³
Symmetry = P2_1/c, No. 14
E_form (uncorrected) = -2.4713 eV per atom

=====

Entry 8:
SrTm2RuO8: optimized geometry, GGA-PBE.

Cell: 5.2687 4.1109 6.9192 Å, 73.42 89.80 88.69°
Last column: magnetic moment on the atom in μB.
Atoms (fractional coordinates):
Sr: 0.0000 0.0000 0.5000  0.01
Tm: 0.4743 0.6206 0.2032  0.02
O: 0.0517 0.6381 0.2565  0.12
O: 0.3163 0.1793 0.0910  0.03
O: 0.9483 0.3619 0.7435  0.12
O: 0.2239 0.7895 0.8590  0.11
O: 0.5098 0.8196 0.4975  0.01
Ru: 0.0000 0.0000 0.0000  1.19
Tm: 0.5257 0.3794 0.7968  0.02
O: 0.7761 0.2105 0.1410  0.11
O: 0.6837 0.8207 0.9090  0.03
O: 0.4902 0.1804 0.5025  0.01

Density = 7.57 g/cm³
Symmetry = P-1, No. 2
E_form (uncorrected) = -2.1798 eV per atom

=====

- Which of these has the lowest density?
  SrTlRu2O8

=====

Repeat the second record exactly.
SrTl2RuO8: optimized geometry, GGA-PBE.

Cell: 5.0574 4.9627 6.9966 Å, 83.47 89.61 92.85°
Last column: magnetic moment on the atom in μB.
Atoms (fractional coordinates):
O: 0.4497 0.2348 0.4907  0.30
O: 0.1558 0.8033 0.8294  -0.01
O: 0.6702 0.7653 0.9847  -0.02
Ru: 0.0000 0.0000 0.0000  0.31
Sr: 0.0000 0.0000 0.5000  0.00
O: 0.5503 0.7652 0.5093  0.30
Tl: 0.4973 0.4652 0.7576  0.00
O: 0.8442 0.1967 0.1706  -0.01
O: 0.8940 0.2436 0.7868  0.12
Tl: 0.5027 0.5348 0.2424  0.00
O: 0.1060 0.7564 0.2132  0.12
O: 0.3298 0.2347 0.0153  -0.02

Density = 6.91 g/cm³
Symmetry = P-1, No. 2
E_form (uncorrected) = -0.8677 eV per atom

=====

- What is the formula in the seventh record?
  Sr2TmRuO6

=====

- What is the E_form (uncorrected) in the fifth record?
  -1.1427 eV per atom